Compound: FePO4F
Source: the Alexandria database
Functional: PBE+U
Structure: relaxed

```
FePO4F
1.0
4.775 0.508 1.335
0.368 6.678 0.098
-0.846 -2.709 6.272
P O F Fe
2 8 2 2
direct
0.523 0.965 0.309
0.477 0.035 0.691
0.202 0.143 0.829
0.456 0.828 0.460
0.392 0.535 0.064
0.608 0.465 0.936
0.281 0.040 0.225
0.798 0.857 0.171
0.719 0.960 0.775
0.544 0.172 0.540
0.765 0.323 0.255
0.235 0.677 0.745
0.000 0.000 0.000
0.500 0.500 0.500
```

The value obtained for the energy relative to the lowest polymorph listed for this composition is 0.140 eV per atom. The space group is No. 2. The value obtained for the density is 2.734 g/cm3.